No. 1
A relaxed LiSm2Sc crystal. Source: Alexandria via LeMat-Bulk, functional PBE.

Values from the calculation:
- Offset from the most stable computed form: 4.0 meV per atom
- Space group: No. 166
- Calculated volume: 115 Å³/f.u.
- Spin magnetization: 0.000 Bohr magnetons per cell

Cell lengths 11.245, 11.245, 11.245 Å; angles 17.68, 17.68, 17.68 degrees
Sites, in units of the cell vectors:
1 Li 0.000 0.000 0.000
2 Sm 0.249 0.249 0.249
3 Sm 0.751 0.751 0.751
4 Sc 0.500 0.500 0.500

No. 2
A relaxed LiSm2Sc crystal. Source: Alexandria via LeMat-Bulk, functional PBE.

Values from the calculation:
- Offset from the most stable computed form: 10.6 meV per atom
- Space group: No. 160
- Calculated volume: 115 Å³/f.u.
- Spin magnetization: 0.000 Bohr magnetons per cell

Cell lengths 11.277, 11.277, 11.277 Å; angles 17.64, 17.64, 17.64 degrees
Sites, in units of the cell vectors:
1 Li 0.000 0.000 0.000
2 Sm 0.248 0.248 0.248
3 Sm 0.418 0.418 0.418
4 Sc 0.833 0.833 0.833

No. 3
A relaxed LiSmSc2 crystal. Source: Alexandria via LeMat-Bulk, functional PBE.

Values from the calculation:
- Offset from the most stable computed form: 53.0 meV per atom
- Space group: No. 160
- Calculated volume: 104 Å³/f.u.
- Spin magnetization: 0.159 Bohr magnetons per cell

Cell lengths 10.896, 10.896, 10.896 Å; angles 17.69, 17.69, 17.69 degrees
Sites, in units of the cell vectors:
1 Li 0.000 0.000 0.000
2 Sm 0.834 0.834 0.834
3 Sc 0.413 0.413 0.413
4 Sc 0.588 0.588 0.588

No. 4
A relaxed LiSm2Sc crystal. Source: Alexandria via LeMat-Bulk, functional PBE.

Values from the calculation:
- Offset from the most stable computed form: 59.7 meV per atom
- Space group: No. 225
- Calculated volume: 112 Å³/f.u.
- Spin magnetization: 0.000 Bohr magnetons per cell

Cell lengths 5.412, 5.412, 5.412 Å; angles 60.00, 60.00, 60.00 degrees
Sites, in units of the cell vectors:
1 Li 0.000 0.000 0.000
2 Sm 0.250 0.250 0.250
3 Sm 0.750 0.750 0.750
4 Sc 0.500 0.500 0.500

| no. | DOS at the Fermi energy (states/eV per cell) | ΔE_f (eV/atom) |
| --- | --- | --- |
| 1 | 3.1 | 0.09 |
| 2 | 3.3 | 0.09 |
| 3 | 6.1 | 0.18 |
| 4 | 4.1 | 0.14 |